Record 1
A plane-wave DFT calculation with PBE-GGA was carried out for LiHf2PtAu after structural relaxation.

## Properties
SG: No. 123

Cell lengths 5.1147, 4.2272, 5.1147 Å; angles 90.00, 90.00, 90.00 degrees
Fractional coordinates of all 5 atoms:
Hf (0.0000, 0.0000, 0.5000)
Hf (0.5000, 0.0000, 0.0000)
Au (0.0000, 0.0000, 0.0000)
Pt (0.5000, 0.5000, 0.5000)
Li (0.0000, 0.5000, 0.0000)

Record 2
A plane-wave DFT calculation with PBE-GGA was carried out for Rb2LiHfAu after structural relaxation.

## Properties
SG: No. 123

Cell lengths 6.9854, 5.4246, 6.9854 Å; angles 90.00, 90.00, 90.00 degrees
Fractional coordinates of all 5 atoms:
Hf (0.0000, 0.0000, 0.0000)
Au (0.5000, 0.5000, 0.5000)
Rb (0.0000, 0.0000, 0.5000)
Rb (0.5000, 0.0000, 0.0000)
Li (0.0000, 0.5000, 0.0000)

Record 3
A plane-wave DFT calculation with PBE-GGA was carried out for Li2HfReAu after structural relaxation.

## Properties
SG: No. 123

Cell lengths 4.6829, 4.8341, 4.6829 Å; angles 90.00, 90.00, 90.00 degrees
Fractional coordinates of all 5 atoms:
Re (0.0000, 0.0000, 0.0000)
Hf (0.0000, 0.5000, 0.0000)
Au (0.5000, 0.5000, 0.5000)
Li (0.0000, 0.0000, 0.5000)
Li (0.5000, 0.0000, 0.0000)

Record 4
A plane-wave DFT calculation with PBE-GGA was carried out for Li4Hf3AuS8 after structural relaxation.

## Properties
Raw formation energy in eV/atom: -1.2728
SG: No. 166

Cell lengths 7.3832, 7.4679, 7.3876 Å; angles 119.64, 119.98, 90.00 degrees
Fractional coordinates of all 16 atoms:
Li (0.5000, 0.0000, 0.0000)
Li (0.5000, 0.0000, 0.5000)
Li (0.0000, 0.0000, 0.0000)
Li (0.0000, 0.0000, 0.5000)
Hf (0.5000, 0.5000, 0.0000)
Hf (0.5000, 0.5000, 0.5000)
Hf (0.0000, 0.5000, 0.5000)
Au (0.0000, 0.5000, 0.0000)
S (0.2575, 0.7457, 0.9879)
S (0.2580, 0.7460, 0.5159)
S (0.2525, 0.2571, 0.5049)
S (0.7304, 0.7457, 0.9879)
S (0.2696, 0.2543, 0.0121)
S (0.7475, 0.7429, 0.4951)
S (0.7420, 0.2540, 0.4841)
S (0.7425, 0.2543, 0.0121)

Record 5
A plane-wave DFT calculation with PBE-GGA was carried out for Li2HfScAu after structural relaxation.

## Properties
SG: No. 123

Cell lengths 4.6150, 5.2295, 4.6150 Å; angles 90.00, 90.00, 90.00 degrees
Fractional coordinates of all 5 atoms:
Sc (0.0000, 0.5000, 0.0000)
Hf (0.5000, 0.5000, 0.5000)
Au (0.0000, 0.0000, 0.0000)
Li (0.0000, 0.0000, 0.5000)
Li (0.5000, 0.0000, 0.0000)

Record 6
A plane-wave DFT calculation with PBE-GGA was carried out for LiHfSnAu after structural relaxation.

## Properties
SG: No. 216

Cell lengths 4.7968, 4.7968, 4.7968 Å; angles 60.00, 60.00, 60.00 degrees
Fractional coordinates of all 4 atoms:
Hf (0.5000, 0.5000, 0.5000)
Au (0.7500, 0.7500, 0.7500)
Sn (0.2500, 0.2500, 0.2500)
Li (0.0000, 0.0000, 0.0000)

Record 7
A plane-wave DFT calculation with PBE-GGA was carried out for Li4Hf3Te8Au after structural relaxation.

## Properties
Raw formation energy in eV/atom: -0.7175
SG: No. 166

Cell lengths 8.2667, 8.4384, 8.2701 Å; angles 119.36, 119.99, 90.00 degrees
Fractional coordinates of all 16 atoms:
Li (0.5000, 0.0000, 0.0000)
Li (0.5000, 0.0000, 0.5000)
Li (0.0000, 0.0000, 0.0000)
Li (0.0000, 0.0000, 0.5000)
Hf (0.5000, 0.5000, 0.0000)
Hf (0.5000, 0.5000, 0.5000)
Hf (0.0000, 0.5000, 0.5000)
Te (0.2506, 0.7427, 0.9921)
Te (0.2510, 0.7430, 0.5019)
Te (0.2512, 0.2535, 0.5023)
Te (0.7415, 0.7427, 0.9921)
Te (0.2585, 0.2573, 0.0079)
Te (0.7488, 0.7465, 0.4977)
Te (0.7490, 0.2570, 0.4981)
Te (0.7494, 0.2573, 0.0079)
Au (0.0000, 0.5000, 0.0000)

Record 8
A plane-wave DFT calculation with PBE-GGA was carried out for LiHfTlAu2 after structural relaxation.

## Properties
SG: No. 123

Cell lengths 4.5397, 4.6694, 4.5397 Å; angles 90.00, 90.00, 90.00 degrees
Fractional coordinates of all 5 atoms:
Hf (0.5000, 0.5000, 0.5000)
Tl (0.0000, 0.5000, 0.0000)
Au (0.0000, 0.0000, 0.5000)
Au (0.5000, 0.0000, 0.0000)
Li (0.0000, 0.0000, 0.0000)

Record 9
A plane-wave DFT calculation with PBE-GGA was carried out for LuHfAu2 after structural relaxation.

## Properties
SG: No. 123
Energy above the most stable polymorph in this dataset in meV/atom: 0

Cell lengths 3.3782, 3.3782, 7.2783 Å; angles 90.00, 90.00, 90.00 degrees
Fractional coordinates of all 4 atoms:
Hf (0.5000, 0.5000, 0.0000)
Lu (0.5000, 0.5000, 0.5000)
Au (0.0000, 0.0000, 0.7643)
Au (0.0000, 0.0000, 0.2357)

Record 10
A plane-wave DFT calculation with PBE-GGA was carried out for LuHfAu2 after structural relaxation.

## Properties
SG: No. 225
Energy above the most stable polymorph in this dataset in meV/atom: 27

Cell lengths 4.9011, 4.9011, 4.9011 Å; angles 60.00, 60.00, 60.00 degrees
Fractional coordinates of all 4 atoms:
Hf (0.5000, 0.5000, 0.5000)
Lu (0.0000, 0.0000, 0.0000)
Au (0.2500, 0.2500, 0.2500)
Au (0.7500, 0.7500, 0.7500)

Record 11
A plane-wave DFT calculation with PBE-GGA was carried out for LuHfNiAu after structural relaxation.

## Properties
SG: No. 216

Cell lengths 4.7593, 4.7593, 4.7593 Å; angles 60.00, 60.00, 60.00 degrees
Fractional coordinates of all 4 atoms:
Hf (0.7500, 0.7500, 0.7500)
Lu (0.2500, 0.2500, 0.2500)
Au (0.0000, 0.0000, 0.0000)
Ni (0.5000, 0.5000, 0.5000)

Record 12
A plane-wave DFT calculation with PBE-GGA was carried out for LuHfOsAu after structural relaxation.

## Properties
SG: No. 216

Cell lengths 4.7719, 4.7719, 4.7719 Å; angles 60.00, 60.00, 60.00 degrees
Fractional coordinates of all 4 atoms:
Os (0.0000, 0.0000, 0.0000)
Hf (0.2500, 0.2500, 0.2500)
Au (0.5000, 0.5000, 0.5000)
Lu (0.7500, 0.7500, 0.7500)

Computed size of the total moment, in the same sequence as the records: 0.0; 4.0; 0.0; 0.0; 0.6; 0.0; 0.0; 0.0; 0.2; 0.0; 0.0; 0.0 μB/cell.
Computed total DFT energy (no corrections), in the same sequence as the records: -29.13; -11.04; -24.69; -94.18; -21.59; -20.71; -77.41; -19.90; -23.56; -23.45; -25.41; -31.01 eV/cell.